The following is a GGA-PBE calculation of crystalline Sb2MoIr at its relaxed geometry, from Alexandria via LeMat-Bulk.

Output
The magnetic moment comes out at 0.00 Bohr magnetons per cell. The total energy comes out at -80.1 eV per cell. The value obtained for the uncorrected formation energy is 312.2 meV/atom.

a = 3.2207 Å, b = 3.2207 Å, c = 25.1314 Å
α = 90.00°, β = 90.00°, γ = 120.00°
Space group R-3m (No. 166, hexagonal axes)
One atom of each set of equivalent atoms:
Sb (0.0000, 0.0000, 0.2495) [6 per cell]
Mo (0.0000, 0.0000, 0.0000) [3 per cell]
Ir (0.0000, 0.0000, 0.5000) [3 per cell]